## Ho2GaCu9 (PBE-GGA)

Data for a relaxed structure of Ho2GaCu9.

The structure belongs to space group R-3m (No. 166, hexagonal axes); the cell edges are 5.0811, 5.0811 and 24.5779 Å and the angles 90.00°, 90.00° and 120.00°. The asymmetric unit holds Ho at (0.0000, 0.0000, 0.1348), Ga at (0.0000, 0.0000, 0.0000), Cu at (0.0000, 0.0000, 0.3331), Cu at (0.0000, 0.0000, 0.5000) and Cu at (0.0029, 0.5014, 0.9178).

The formation energy comes out at -0.09 eV/atom. The spin magnetization is 0.000 Bohr magnetons per cell. The total energy comes out at -4.1776 eV per atom.